Hf2UPb: optimized geometry, PBE.

Summary:
**Formation energy**: 0.186 eV per atom
**Polymorph energy (0 for the lowest one)**: 1 meV per atom
**Symmetry**: R3m (160)
**E_tot**: -34.2 eV for the cell shown

Cell lengths 10.688, 10.688, 10.688 Å; angles 17.23, 17.23, 17.23 degrees
Atoms (fractional coordinates):
Hf 0.000 0.000 0.000
Hf 0.165 0.165 0.165
U 0.749 0.749 0.749
Pb 0.583 0.583 0.583

Hf2UPb: optimized geometry, PBE.

Summary:
**Formation energy**: 0.185 eV per atom
**Polymorph energy (0 for the lowest one)**: 0 meV per atom
**Symmetry**: P4/mmm (123)
**E_tot**: -34.2 eV for the cell shown

Cell lengths 4.720, 4.720, 4.120 Å; angles 90.00, 90.00, 90.00 degrees
Atoms (fractional coordinates):
Hf 0.000 0.500 0.000
Hf 0.500 0.000 0.000
U 0.000 0.000 0.500
Pb 0.500 0.500 0.500

Hf2UPb: optimized geometry, PBE.

Summary:
**Formation energy**: 0.241 eV per atom
**Polymorph energy (0 for the lowest one)**: 56 meV per atom
**Symmetry**: P4/mmm (123)
**E_tot**: -33.9 eV for the cell shown

Cell lengths 3.673, 3.673, 6.782 Å; angles 90.00, 90.00, 90.00 degrees
Atoms (fractional coordinates):
Hf 0.000 0.000 0.240
Hf 0.000 0.000 0.760
U 0.500 0.500 0.000
Pb 0.500 0.500 0.500

HfUPb: optimized geometry, PBE.

Summary:
**Formation energy**: 0.364 eV per atom
**Symmetry**: Immm (71)
**E_tot**: -47.7 eV for the cell shown

Cell lengths 9.277, 9.277, 9.277 Å; angles 160.80, 146.94, 38.52 degrees
Atoms (fractional coordinates):
Hf 0.175 0.175 0.000
Hf 0.825 0.825 0.000
U 0.241 0.000 0.241
U 0.759 0.000 0.759
Pb 0.348 0.348 0.000
Pb 0.652 0.652 0.000

Hf2VPb: optimized geometry, PBE.

Summary:
**Formation energy**: 0.205 eV per atom
**Symmetry**: R-3m (166)
**E_tot**: -31.9 eV for the cell shown

Cell lengths 9.593, 9.593, 9.593 Å; angles 19.53, 19.53, 19.53 degrees
Atoms (fractional coordinates):
Hf 0.241 0.241 0.241
Hf 0.759 0.759 0.759
V 0.500 0.500 0.500
Pb 0.000 0.000 0.000

Hf2VPb: optimized geometry, PBE.

Summary:
**Formation energy**: 0.058 eV per atom
**Symmetry**: P4/mmm (123)
**E_tot**: -32.5 eV for the cell shown

Cell lengths 3.525, 3.525, 6.589 Å; angles 90.00, 90.00, 90.00 degrees
Atoms (fractional coordinates):
Hf 0.000 0.000 0.224
Hf 0.000 0.000 0.776
V 0.500 0.500 0.000
Pb 0.500 0.500 0.500

Number 1: N(E_F) 5.61 states/eV/cell. Number 2: N(E_F) 7.81 states/eV/cell. Number 3: N(E_F) 8.01 states/eV/cell. Number 4: N(E_F) 8.49 states/eV/cell. Number 5: N(E_F) 2.67 states/eV/cell. Number 6: N(E_F) 4.35 states/eV/cell.